Compound: Re4HgSe8
Source: Alexandria via LeMat-Bulk
Functional: PBE
Structure: optimized geometry

CIF file:
```
data_Re4HgSe8
_chemical_formula_sum 'Re12 Hg3 Se24'
_symmetry_space_group_name_H-M 'R -3 m'
_symmetry_Int_Tables_number 166
_symmetry_space_group_name_Hall '-R 3 2"'
_cell_length_a 6.3689
_cell_length_b 6.3689
_cell_length_c 28.6775
_cell_angle_alpha 90.00
_cell_angle_beta 90.00
_cell_angle_gamma 120.00
loop_
_atom_site_label
_atom_site_type_symbol
_atom_site_fract_x
_atom_site_fract_y
_atom_site_fract_z
Re1 Re 0.0000 0.0000 0.0000
Re2 Re 0.0000 0.5000 0.0000
Hg1 Hg 0.0000 0.0000 0.5000
Se1 Se 0.0000 0.0000 0.2711
Se2 Se 0.0015 0.5007 0.7286
```

The total energy is -6.014 eV/atom. The value obtained for the uncorrected formation energy is -0.017 eV per atom. The density comes out at 7.8 g cm⁻³. The calculation puts the density of states at the Fermi level at 0.873 states/eV per atom. The value obtained for the total magnetic moment is 0.0 μB/f.u.